one:
# SbTe2RuS | Alexandria via LeMat-Bulk | PBE-GGA | optimized geometry
# - Crystal system: tetragonal
data_SbTe2RuS
_cell_length_a 5.146
_cell_length_b 5.146
_cell_length_c 5.147
_cell_angle_alpha 90.00
_cell_angle_beta 90.00
_cell_angle_gamma 90.00
_space_group_name_H-M_alt 'P 4/m m m'
_space_group_IT_number 123
_space_group_name_Hall '-P 4 2'
loop_
_atom_site_label
_atom_site_fract_x
_atom_site_fract_y
_atom_site_fract_z
Sb1 0.000 0.000 0.000
Te1 0.000 0.500 0.500
Ru1 0.000 0.000 0.500
S1 0.500 0.500 0.000

two:
# SbTe2RuS | Alexandria via LeMat-Bulk | PBE-GGA | optimized geometry
# - Crystal system: tetragonal
data_SbTe2RuS
_cell_length_a 5.059
_cell_length_b 5.059
_cell_length_c 5.092
_cell_angle_alpha 90.00
_cell_angle_beta 90.00
_cell_angle_gamma 90.00
_space_group_name_H-M_alt 'P 4/m m m'
_space_group_IT_number 123
_space_group_name_Hall '-P 4 2'
loop_
_atom_site_label
_atom_site_fract_x
_atom_site_fract_y
_atom_site_fract_z
Sb1 0.000 0.000 0.000
Te1 0.000 0.500 0.500
Ru1 0.500 0.500 0.000
S1 0.000 0.000 0.500

Which one sits at the top of the stability order? one does.

one:
# ScRu3S | Alexandria via LeMat-Bulk | PBE-GGA | optimized geometry
# - Crystal system: cubic
data_ScRu3S
_cell_length_a 4.345
_cell_length_b 4.345
_cell_length_c 4.345
_cell_angle_alpha 90.00
_cell_angle_beta 90.00
_cell_angle_gamma 90.00
_space_group_name_H-M_alt 'P m -3 m'
_space_group_IT_number 221
_space_group_name_Hall '-P 4 2 3'
loop_
_atom_site_label
_atom_site_fract_x
_atom_site_fract_y
_atom_site_fract_z
Sc1 0.000 0.000 0.000
Ru1 0.000 0.500 0.500
S1 0.500 0.500 0.500

two:
# ScRu3S | Alexandria via LeMat-Bulk | PBE-GGA | optimized geometry
# - Crystal system: cubic
data_ScRu3S
_cell_length_a 4.703
_cell_length_b 4.703
_cell_length_c 4.703
_cell_angle_alpha 90.00
_cell_angle_beta 90.00
_cell_angle_gamma 90.00
_space_group_name_H-M_alt 'P m -3 m'
_space_group_IT_number 221
_space_group_name_Hall '-P 4 2 3'
loop_
_atom_site_label
_atom_site_fract_x
_atom_site_fract_y
_atom_site_fract_z
Sc1 0.000 0.000 0.000
Ru1 0.000 0.000 0.500
S1 0.500 0.500 0.500

Which one sits at the top of the stability order? one does.

one:
# Sc3RuS | Alexandria via LeMat-Bulk | PBE-GGA | optimized geometry
# - Crystal system: cubic
data_Sc3RuS
_cell_length_a 4.960
_cell_length_b 4.960
_cell_length_c 4.960
_cell_angle_alpha 90.00
_cell_angle_beta 90.00
_cell_angle_gamma 90.00
_space_group_name_H-M_alt 'P m -3 m'
_space_group_IT_number 221
_space_group_name_Hall '-P 4 2 3'
loop_
_atom_site_label
_atom_site_fract_x
_atom_site_fract_y
_atom_site_fract_z
Sc1 0.000 0.000 0.500
Ru1 0.000 0.000 0.000
S1 0.500 0.500 0.500

two:
# Sc3RuS | Alexandria via LeMat-Bulk | PBE-GGA | optimized geometry
# - Crystal system: cubic
data_Sc3RuS
_cell_length_a 4.714
_cell_length_b 4.714
_cell_length_c 4.714
_cell_angle_alpha 90.00
_cell_angle_beta 90.00
_cell_angle_gamma 90.00
_space_group_name_H-M_alt 'P m -3 m'
_space_group_IT_number 221
_space_group_name_Hall '-P 4 2 3'
loop_
_atom_site_label
_atom_site_fract_x
_atom_site_fract_y
_atom_site_fract_z
Sc1 0.000 0.000 0.500
Ru1 0.500 0.500 0.500
S1 0.000 0.000 0.000

Which one sits at the top of the stability order? two does.

one:
# ScRuS3 | Alexandria via LeMat-Bulk | PBE-GGA | optimized geometry
# - Crystal system: cubic
data_ScRuS3
_cell_length_a 4.850
_cell_length_b 4.850
_cell_length_c 4.850
_cell_angle_alpha 90.00
_cell_angle_beta 90.00
_cell_angle_gamma 90.00
_space_group_name_H-M_alt 'P m -3 m'
_space_group_IT_number 221
_space_group_name_Hall '-P 4 2 3'
loop_
_atom_site_label
_atom_site_fract_x
_atom_site_fract_y
_atom_site_fract_z
Sc1 0.000 0.000 0.000
Ru1 0.500 0.500 0.500
S1 0.000 0.000 0.500

two:
# ScRuS3 | Alexandria via LeMat-Bulk | PBE-GGA | optimized geometry
# - Crystal system: cubic
data_ScRuS3
_cell_length_a 4.611
_cell_length_b 4.611
_cell_length_c 4.611
_cell_angle_alpha 90.00
_cell_angle_beta 90.00
_cell_angle_gamma 90.00
_space_group_name_H-M_alt 'P m -3 m'
_space_group_IT_number 221
_space_group_name_Hall '-P 4 2 3'
loop_
_atom_site_label
_atom_site_fract_x
_atom_site_fract_y
_atom_site_fract_z
Sc1 0.000 0.000 0.000
Ru1 0.500 0.500 0.500
S1 0.000 0.500 0.500

Which one sits at the top of the stability order? two does.